Entry 1:
{"formula": "TeOsPb", "functional": "PBE-GGA", "state": "optimized geometry", "cell": [[-1.613, 1.613, 7.026], [1.613, -1.613, 7.026], [1.613, 1.613, -7.026]], "species": ["Te", "Os", "Pb"], "fractional_positions": [[0.000, 0.000, 0.000], [0.395, 0.395, 0.000], [0.742, 0.742, 0.000]], "e_above_lowest_polymorph_mev_per_atom": 152, "space_group": "I4mm (107)", "crystal_system": "tetragonal"}



Entry 2:
{"formula": "Te2OsPb", "functional": "PBE-GGA", "state": "optimized geometry", "cell": [[3.584, 0.000, 0.000], [0.000, 4.958, 0.000], [0.000, 0.000, 5.354]], "species": ["Te", "Te", "Os", "Pb"], "fractional_positions": [[0.000, 0.000, 0.000], [0.500, 0.000, 0.500], [0.000, 0.500, 0.500], [0.500, 0.500, 0.000]], "space_group": "Pmmm (47)", "crystal_system": "orthorhombic"}



Entry 3:
{"formula": "Te2OsPb", "functional": "PBE-GGA", "state": "optimized geometry", "cell": [[1.577, 0.910, 12.430], [-1.577, 0.910, 12.430], [0.000, -1.820, 12.430]], "species": ["Te", "Te", "Os", "Pb"], "fractional_positions": [[0.068, 0.068, 0.068], [0.932, 0.932, 0.932], [0.000, 0.000, 0.000], [0.500, 0.500, 0.500]], "space_group": "R-3m (166)", "crystal_system": "trigonal"}



Entry 4:
{"formula": "TeOsPb", "functional": "PBE-GGA", "state": "optimized geometry", "cell": [[4.873, 0.000, 0.000], [0.000, 4.267, 0.000], [-0.512, 0.000, 7.731]], "species": ["Te", "Te", "Os", "Os", "Pb", "Pb"], "fractional_positions": [[0.000, 0.000, 0.000], [0.323, 0.000, 0.475], [0.348, 0.500, 0.908], [0.514, 0.000, 0.809], [0.619, 0.500, 0.242], [0.872, 0.500, 0.662]], "e_above_lowest_polymorph_mev_per_atom": 12, "space_group": "Pm (6)", "crystal_system": "monoclinic"}



Entry 5:
{"formula": "Te2OsPb", "functional": "PBE-GGA", "state": "optimized geometry", "cell": [[1.903, 1.099, 8.829], [-1.903, 1.099, 8.829], [0.000, -2.197, 8.829]], "species": ["Te", "Te", "Os", "Pb"], "fractional_positions": [[0.224, 0.224, 0.224], [0.776, 0.776, 0.776], [0.500, 0.500, 0.500], [0.000, 0.000, 0.000]], "space_group": "R-3m (166)", "crystal_system": "trigonal"}



Entry 6:
{"formula": "Te2OsPb", "functional": "PBE-GGA", "state": "optimized geometry", "cell": [[5.274, 0.000, 0.000], [0.000, 5.274, 0.000], [0.000, 0.000, 3.389]], "species": ["Te", "Te", "Os", "Pb"], "fractional_positions": [[0.000, 0.500, 0.000], [0.500, 0.000, 0.000], [0.000, 0.000, 0.500], [0.500, 0.500, 0.500]], "space_group": "P4/mmm (123)", "crystal_system": "tetragonal"}



Entry 7:
{"formula": "Te2OsPb", "functional": "PBE-GGA", "state": "optimized geometry", "cell": [[-2.332, 2.332, 4.335], [2.332, -2.332, 4.335], [2.332, 2.332, -4.335]], "species": ["Te", "Te", "Os", "Pb"], "fractional_positions": [[0.000, 0.000, 0.000], [0.750, 0.250, 0.500], [0.250, 0.750, 0.500], [0.500, 0.500, 0.000]], "space_group": "I-4m2 (119)", "crystal_system": "tetragonal"}



Entry 8:
{"formula": "TeOsPb", "functional": "PBE-GGA", "state": "optimized geometry", "cell": [[4.226, 0.000, 0.000], [0.611, 5.207, 0.000], [0.983, 1.773, 7.645]], "species": ["Te", "Te", "Os", "Os", "Pb", "Pb"], "fractional_positions": [[0.000, 0.000, 0.000], [0.431, 0.743, 0.524], [0.301, 0.261, 0.710], [0.775, 0.993, 0.698], [0.530, 0.521, 0.956], [0.999, 0.324, 0.387]], "e_above_lowest_polymorph_mev_per_atom": 42, "space_group": "P1 (1)", "crystal_system": "triclinic"}



no.,formation energy without anion corrections (eV/atom)
1,0.433
2,0.979
3,0.676
4,0.293
5,0.209
6,0.807
7,0.916
8,0.323